First-principles (PBE-GGA) data for crystalline CuMoCl6 at its relaxed geometry, as listed in the Alexandria database.

Unit cell a=6.1242 b=6.1263 c=6.5613 alpha=90.08 beta=117.77 gamma=119.96
Fractional positions:
Cu1 0.0000 0.0000 0.0000
Mo1 0.0000 0.5000 0.5000
Cl1 0.1480 0.7391 0.2549
Cl2 0.1537 0.8932 0.7455
Cl3 0.4843 0.5913 0.7453
Cl4 0.5157 0.4087 0.2547
Cl5 0.8463 0.1068 0.2545
Cl6 0.8520 0.2609 0.7451

Values from the calculation:
The calculation puts the size of the total moment at 0.13 μB/atom. The energy comes out at -3.9292 eV/atom. The formation energy without anion corrections comes out at -678 meV/atom. For the distance to the lowest polymorph of the same formula, the calculation gives 15 meV/atom. The space group is P-1.